1.
DFT (PBE-GGA) results for crystalline TaAl2Se at its relaxed geometry.

Unit cell a=8.356 b=8.356 c=8.356 alpha=22.28 beta=22.28 gamma=22.28
Positions (direct):
Se  0.495  0.495  0.495
Al  0.002  0.002  0.002
Al  0.249  0.249  0.249
Ta  0.754  0.754  0.754

formation energy (no corrections) = -0.5 eV/f.u.
SG = R3m, No. 160



2.
DFT (PBE-GGA) results for crystalline GdPO4 at its relaxed geometry.

Unit cell a=5.858 b=5.858 c=5.855 alpha=105.94 beta=105.94 gamma=116.81
Last column: magnetic moment on the atom in μB.
Positions (direct):
Gd  0.875  0.125  0.750  6.93
O  0.360  0.782  0.577  0.00
P  0.375  0.625  0.750  0.00
O  0.640  0.218  0.423  0.00
O  0.782  0.360  0.077  0.00
O  0.295  0.217  0.077  0.00
O  0.783  0.705  0.423  0.00
Gd  0.125  0.875  0.250  6.93
O  0.217  0.295  0.577  0.00
O  0.705  0.783  0.923  0.00
P  0.625  0.375  0.250  0.00
O  0.218  0.640  0.923  0.00

formation energy (no corrections) = -17.9 eV/f.u.
SG = I4_1/amd, No. 141



3.
DFT (PBE-GGA) results for crystalline BS2Br at its relaxed geometry.

Unit cell a=10.797 b=10.797 c=10.797 alpha=17.66 beta=17.66 gamma=17.66
Positions (direct):
S  0.052  0.052  0.052
S  0.948  0.948  0.948
Br  0.500  0.500  0.500
B  0.000  0.000  0.000

excess energy over the best structure of this formula in the dataset = 0.000 eV/atom
formation energy (no corrections) = 1.2 eV/f.u.
SG = R-3m, No. 166



4.
DFT (PBE-GGA) results for crystalline Ac2Hf2N5 at its relaxed geometry.

Unit cell a=4.201 b=4.201 c=8.352 alpha=90.00 beta=90.00 gamma=90.00
Positions (direct):
Hf  0.500  0.500  0.742
N  0.500  0.500  0.500
N  0.000  0.500  0.791
N  0.000  0.500  0.209
Ac  0.000  0.000  0.500
N  0.500  0.000  0.209
N  0.500  0.000  0.791
Hf  0.500  0.500  0.258
Ac  0.000  0.000  0.000

formation energy (no corrections) = -12.0 eV/f.u.
SG = P4/mmm, No. 123



5.
DFT (PBE-GGA) results for crystalline Ti3MnCo at its relaxed geometry.

Unit cell a=4.401 b=4.401 c=4.401 alpha=90.00 beta=90.00 gamma=90.00
Positions (direct):
Mn  0.000  0.000  0.000
Ti  0.000  0.500  0.000
Ti  0.000  0.000  0.500
Co  0.500  0.500  0.500
Ti  0.500  0.000  0.000

excess energy over the best structure of this formula in the dataset = 0.000 eV/atom
energy of formation = 0.625 eV/atom
SG = Pm-3m, No. 221



6.
DFT (PBE-GGA) results for crystalline Nd5Cd2Sn5 at its relaxed geometry.

Unit cell a=4.602 b=7.584 c=12.829 alpha=121.46 beta=90.00 gamma=107.66
Positions (direct):
Nd  0.352  0.703  0.011
Sn  0.874  0.748  0.551
Sn  0.730  0.460  0.790
Nd  0.500  0.000  0.500
Nd  0.648  0.297  0.989
Sn  0.270  0.540  0.210
Sn  0.000  0.000  0.000
Nd  0.653  0.305  0.291
Sn  0.126  0.252  0.449
Cd  0.088  0.176  0.772
Cd  0.912  0.824  0.228
Nd  0.347  0.695  0.709

energy of formation = -0.501 eV/atom
SG = C2/m, No. 12



7.
DFT (PBE-GGA) results for crystalline CaAl2In at its relaxed geometry.

Unit cell a=5.621 b=5.621 c=5.621 alpha=133.56 beta=133.55 gamma=67.78
Positions (direct):
Al  0.000  0.000  0.000
In  0.250  0.750  0.500
Ca  0.750  0.250  0.500
Al  0.500  0.500  0.000

energy of formation = -0.081 eV/atom
SG = I4/mmm, No. 139



8.
DFT (PBE-GGA) results for crystalline Cu3SbS3 at its relaxed geometry.

Unit cell a=6.545 b=8.163 c=10.261 alpha=90.00 beta=90.00 gamma=90.00
Positions (direct):
S  0.603  0.659  0.446
S  0.376  0.450  0.746
S  0.103  0.841  0.554
S  0.876  0.050  0.254
Sb  0.613  0.272  0.235
S  0.124  0.550  0.246
Cu  0.054  0.171  0.094
Cu  0.554  0.329  0.906
S  0.897  0.317  0.574
Cu  0.871  0.869  0.087
Cu  0.011  0.578  0.033
S  0.397  0.159  0.054
Cu  0.446  0.829  0.594
Cu  0.989  0.078  0.467
Sb  0.387  0.772  0.265
Sb  0.887  0.728  0.735
S  0.624  0.950  0.754
S  0.603  0.683  0.074
Cu  0.629  0.131  0.587
S  0.397  0.183  0.426
Cu  0.511  0.922  0.967
Cu  0.129  0.369  0.413
Cu  0.946  0.671  0.406
Cu  0.489  0.422  0.533
S  0.897  0.341  0.946
Cu  0.371  0.631  0.913
S  0.103  0.817  0.926
Sb  0.113  0.228  0.765

excess energy over the best structure of this formula in the dataset = 0.000 eV/atom
formation energy (no corrections) = -1.4 eV/f.u.
SG = P2_12_12_1, No. 19



9.
DFT (PBE-GGA) results for crystalline LiHg2I4 at its relaxed geometry.

Unit cell a=7.205 b=7.205 c=5.587 alpha=90.00 beta=90.00 gamma=90.00
Positions (direct):
Li  0.000  0.000  0.000
Hg  0.500  0.000  0.500
Hg  0.000  0.500  0.500
I  0.247  0.247  0.222
I  0.753  0.753  0.222
I  0.247  0.753  0.778
I  0.753  0.247  0.778

excess energy over the best structure of this formula in the dataset = 0.000 eV/atom
formation energy (no corrections) = -3.1 eV/f.u.
SG = P-42m, No. 111



10.
DFT (PBE-GGA) results for crystalline MgZrH3 at its relaxed geometry.

Unit cell a=4.049 b=7.998 c=6.901 alpha=115.64 beta=90.00 gamma=90.00
Positions (direct):
Mg  0.259  0.869  0.557
Zr  0.758  0.636  0.193
H  0.735  0.780  0.015
H  0.468  0.110  0.185
Mg  0.241  0.869  0.057
H  0.265  0.220  0.985
H  0.761  0.460  0.355
H  0.032  0.110  0.685
H  0.739  0.460  0.855
H  0.235  0.220  0.485
H  0.261  0.540  0.145
H  0.765  0.780  0.515
Mg  0.741  0.131  0.443
H  0.532  0.890  0.815
Mg  0.759  0.131  0.943
Zr  0.258  0.364  0.307
H  0.239  0.540  0.645
Zr  0.242  0.364  0.807
Zr  0.742  0.636  0.693
H  0.968  0.890  0.315

excess energy over the best structure of this formula in the dataset = 0.000 eV/atom
SG = P2_1/c, No. 14



11.
DFT (PBE-GGA) results for crystalline MgZrScPa at its relaxed geometry.

Unit cell a=5.087 b=5.087 c=5.087 alpha=60.00 beta=60.00 gamma=60.00
Positions (direct):
Zr  0.500  0.500  0.500
Mg  0.250  0.250  0.250
Pa  0.750  0.750  0.750
Sc  0.000  0.000  0.000

energy of formation = 0.246 eV/atom
SG = F-43m, No. 216



12.
DFT (PBE-GGA) results for crystalline Pr3CuAg2 at its relaxed geometry.

Unit cell a=3.707 b=3.707 c=11.354 alpha=90.00 beta=90.00 gamma=90.00
Positions (direct):
Cu  0.500  0.500  0.500
Pr  0.000  0.000  0.656
Pr  0.000  0.000  0.000
Pr  0.000  0.000  0.344
Ag  0.500  0.500  0.172
Ag  0.500  0.500  0.828

excess energy over the best structure of this formula in the dataset = 0.000 eV/atom
energy of formation = -0.201 eV/atom
SG = P4/mmm, No. 123